(1)
Here is Li2Zn4Cu after structural relaxation from Alexandria. Energies are from PBE.

Magnetization = 0.0 μB/f.u.
Calculated formation energy = -0.11 eV per atom
Relative energy among the computed polymorphs = 0.0 kJ/mol of atoms
D(E_F) = 3.4 states/eV per cell
VASP energy = -27.58 eV/cell

a b c (Å): 4.9558 8.5899 4.7719
angles (deg): 90.00 90.22 90.00
Space group C2/m (No. 12)
One atom of each set of equivalent atoms:
1 Li 0.0019 0.0000 0.2564 [4 per cell]
2 Zn 0.0000 0.3421 0.5000 [4 per cell]
3 Zn 0.2500 0.2500 0.0000 [4 per cell]
4 Cu 0.0000 0.5000 0.0000 [2 per cell]


(2)
Here is La3PmPt4 after structural relaxation from Alexandria. Energies are from PBE.

Magnetization = 0.0 μB/f.u.
Calculated formation energy = -1.14 eV per atom
D(E_F) = 5.2 states/eV per cell
VASP energy = -52.85 eV/cell

a b c (Å): 5.9858 5.9858 5.9858
angles (deg): 90.00 90.00 90.00
Space group Pm-3m (No. 221)
One atom of each set of equivalent atoms:
1 La 0.0000 0.0000 0.5000 [3 per cell]
2 Pm 0.5000 0.5000 0.5000 [1 per cell]
3 Pt 0.0000 0.0000 0.0000 [1 per cell]
4 Pt 0.0000 0.5000 0.5000 [3 per cell]


(3)
Here is Fe2ReBr after structural relaxation from Alexandria. Energies are from PBE.

ΔE_f (raw) = 0.623 eV per atom
Magnetization = 4.0 μB/f.u.
Relative energy among the computed polymorphs = 7.0 kJ/mol of atoms
D(E_F) = 3.0 states/eV per cell
VASP energy = -28.55 eV/cell

a b c (Å): 2.9881 2.9881 6.5407
angles (deg): 90.00 90.00 90.00
Space group P4mm (No. 99)
One atom of each set of equivalent atoms:
1 Fe 0.0000 0.0000 0.0000 [1 per cell]
2 Fe 0.5000 0.5000 0.2132 [1 per cell]
3 Re 0.0000 0.0000 0.4235 [1 per cell]
4 Br 0.5000 0.5000 0.7319 [1 per cell]